--- 1 ---
NiRuRh2: optimized geometry, PBEsol.

Lattice parameters (Å, degrees): 3.6796 3.6796 7.5295 90.00 90.00 90.00
Last column: nearest neighbours and their distance in Å.
Positions (direct):
Ni1 0.0000 0.0000 0.0000  8 Rh 2.60-2.63, 4 Ru 2.63
Ni2 0.5000 0.5000 0.5000  8 Rh 2.60-2.63, 4 Ru 2.63
Ru1 0.0000 0.5000 0.7500  8 Rh 2.60-2.63, 4 Ni 2.63
Ru2 0.5000 0.0000 0.2500  8 Rh 2.60-2.63, 4 Ni 2.63
Rh1 0.0000 0.0000 0.5000  4 Ni 2.60, 4 Rh 2.63, 4 Ru 2.63
Rh2 0.0000 0.5000 0.2500  4 Ru 2.60, 4 Ni 2.63, 4 Rh 2.63
Rh3 0.5000 0.0000 0.7500  4 Ru 2.60, 4 Rh 2.63, 4 Ni 2.63
Rh4 0.5000 0.5000 0.0000  4 Ni 2.60, 4 Ru 2.63, 4 Rh 2.63

Properties
Space group   No. 119
V   12.74 Å³/atom

--- 2 ---
NiRuRh2: optimized geometry, PBEsol.

Lattice parameters (Å, degrees): 2.6496 2.6496 7.2624 90.00 90.00 90.00
Last column: nearest neighbours and their distance in Å.
Positions (direct):
Ni1 0.0000 0.0000 0.0000  8 Rh 2.58, 4 Ni 2.65
Ru1 0.0000 0.0000 0.5000  8 Rh 2.64, 4 Ru 2.65
Rh1 0.5000 0.5000 0.2442  4 Ni 2.58, 4 Ru 2.64, 4 Rh 2.65
Rh2 0.5000 0.5000 0.7558  4 Ni 2.58, 4 Ru 2.64, 4 Rh 2.65

Properties
Space group   No. 123
V   12.75 Å³/atom

--- 3 ---
NiRuRh2: optimized geometry, PBEsol.

Lattice parameters (Å, degrees): 2.6436 2.6436 7.2708 90.00 90.00 90.00
Last column: nearest neighbours and their distance in Å.
Positions (direct):
Ni1 0.0000 0.0000 0.0000  4 Ru 2.54, 4 Rh 2.57, 4 Ni 2.64
Ru1 0.5000 0.5000 0.7636  4 Ni 2.54, 4 Rh 2.64, 4 Ru 2.64
Rh1 0.0000 0.0000 0.5071  4 Ru 2.64, 8 Rh 2.64-2.69
Rh2 0.5000 0.5000 0.2419  4 Ni 2.57, 8 Rh 2.64-2.69

Properties
Space group   No. 99
V   12.70 Å³/atom

The energy of each structure relative to the most stable one, in meV/atom, is as follows: 1 41; 2 0; 3 31.

--- 1 ---
NiRuRh2: optimized geometry, PBEsol.

Lattice parameters (Å, degrees): 8.7019 2.6318 4.5225 90.00 100.08 90.00
Last column: nearest neighbours and their distance in Å.
Positions (direct):
Ni1 0.0000 0.0000 0.0000  6 Rh 2.61-2.62, 4 Ru 2.62, 2 Ni 2.63
Ni2 0.5000 0.5000 0.0000  6 Rh 2.61-2.62, 4 Ru 2.62, 2 Ni 2.63
Ru1 0.0000 0.5000 0.5000  4 Ni 2.62, 6 Rh 2.62-2.63, 2 Ru 2.63
Ru2 0.5000 0.0000 0.5000  4 Ni 2.62, 6 Rh 2.62-2.63, 2 Ru 2.63
Rh1 0.2490 0.5000 0.2483  6 Rh 2.61-2.63, 3 Ni 2.61-2.62, 3 Ru 2.62-2.63
Rh2 0.2510 0.0000 0.7517  6 Rh 2.61-2.63, 3 Ni 2.61-2.62, 3 Ru 2.62-2.63
Rh3 0.7490 0.0000 0.2483  6 Rh 2.61-2.63, 3 Ni 2.61-2.62, 3 Ru 2.62-2.63
Rh4 0.7510 0.5000 0.7517  6 Rh 2.61-2.63, 3 Ni 2.61-2.62, 3 Ru 2.62-2.63

Properties
Space group   No. 12
V   12.75 Å³/atom

--- 2 ---
NiRuRh2: optimized geometry, PBEsol.

Lattice parameters (Å, degrees): 8.6883 2.6430 4.5232 90.00 100.30 90.00
Last column: nearest neighbours and their distance in Å.
Positions (direct):
Ni1 0.0000 0.0000 0.0000  7 Rh 2.58-2.66, 3 Ru 2.60-2.65, 2 Ni 2.64
Ni2 0.5000 0.5000 0.0000  7 Rh 2.58-2.66, 3 Ru 2.60-2.65, 2 Ni 2.64
Ru1 0.2527 0.0000 0.7493  7 Rh 2.59-2.65, 3 Ni 2.60-2.65, 2 Ru 2.64
Ru2 0.7527 0.5000 0.7493  7 Rh 2.59-2.65, 3 Ni 2.60-2.65, 2 Ru 2.64
Rh1 0.0021 0.5000 0.5098  4 Ni 2.58-2.66, 3 Ru 2.59-2.61, 5 Rh 2.64-2.67
Rh2 0.2488 0.5000 0.2392  4 Ru 2.59-2.65, 3 Ni 2.60, 5 Rh 2.64-2.67
Rh3 0.5021 0.0000 0.5098  4 Ni 2.58-2.66, 3 Ru 2.59-2.61, 5 Rh 2.64-2.67
Rh4 0.7488 0.0000 0.2392  4 Ru 2.59-2.65, 3 Ni 2.60, 5 Rh 2.64-2.67

Properties
Space group   No. 8
V   12.77 Å³/atom

The energy of each structure relative to the most stable one, in meV/atom, is as follows: 1 0; 2 19.

--- 1 ---
NiRuRh2: optimized geometry, PBEsol.

Lattice parameters (Å, degrees): 2.6451 2.6451 25.3536 90.00 90.00 120.00
Last column: nearest neighbours and their distance in Å.
Positions (direct):
Ni1 0.0000 0.0000 0.0000  6 Rh 2.58, 6 Ni 2.65
Ni2 0.3333 0.6667 0.6667  6 Rh 2.58, 6 Ni 2.65
Ni3 0.6667 0.3333 0.3333  6 Rh 2.58, 6 Ni 2.65
Ru1 0.0000 0.0000 0.5000  6 Rh 2.64, 6 Ru 2.65
Ru2 0.3333 0.6667 0.1667  6 Rh 2.64, 6 Ru 2.65
Ru3 0.6667 0.3333 0.8333  6 Rh 2.64, 6 Ru 2.65
Rh1 0.0000 0.0000 0.2514  3 Ni 2.58, 3 Ru 2.64, 6 Rh 2.65
Rh2 0.0000 0.0000 0.7486  3 Ni 2.58, 3 Ru 2.64, 6 Rh 2.65
Rh3 0.3333 0.6667 0.4153  3 Ni 2.58, 3 Ru 2.64, 6 Rh 2.65
Rh4 0.3333 0.6667 0.9181  3 Ni 2.58, 3 Ru 2.64, 6 Rh 2.65
Rh5 0.6667 0.3333 0.0819  3 Ni 2.58, 3 Ru 2.64, 6 Rh 2.65
Rh6 0.6667 0.3333 0.5847  3 Ni 2.58, 3 Ru 2.64, 6 Rh 2.65

Properties
Space group   No. 166
V   12.80 Å³/atom

--- 2 ---
NiRuRh2: optimized geometry, PBEsol.

Lattice parameters (Å, degrees): 2.6490 3.6801 5.2247 90.00 90.00 90.00
Last column: nearest neighbours and their distance in Å.
Positions (direct):
Ni1 0.0000 0.0000 0.0000  8 Rh 2.61, 2 Ru 2.61, 2 Ni 2.65
Ru1 0.0000 0.0000 0.5000  2 Ni 2.61, 8 Rh 2.63, 2 Ru 2.65
Rh1 0.5000 0.5000 0.2461  4 Rh 2.57-2.65, 4 Ni 2.61, 4 Ru 2.63
Rh2 0.5000 0.5000 0.7539  4 Rh 2.57-2.65, 4 Ni 2.61, 4 Ru 2.63

Properties
Space group   No. 47
V   12.73 Å³/atom

The energy of each structure relative to the most stable one, in meV/atom, is as follows: 1 24; 2 0.

--- 1 ---
Ni2RuRh: optimized geometry, PBEsol.

Lattice parameters (Å, degrees): 2.6130 3.6241 5.0581 90.00 90.00 90.00
Last column: nearest neighbours and their distance in Å.
Positions (direct):
Ni1 0.0000 0.0000 0.0000  2 Rh 2.51-2.55, 6 Ni 2.53-2.61, 4 Ru 2.57
Ni2 0.5000 0.5000 0.2347  2 Ru 2.46-2.60, 6 Ni 2.53-2.61, 4 Rh 2.59
Ru1 0.5000 0.5000 0.7491  6 Ni 2.46-2.60, 4 Rh 2.58, 2 Ru 2.61
Rh1 0.0000 0.0000 0.4955  6 Ni 2.51-2.59, 4 Ru 2.58, 2 Rh 2.61

Properties
Space group   No. 25
V   11.97 Å³/atom

--- 2 ---
Ni2RuRh: optimized geometry, PBEsol.

Lattice parameters (Å, degrees): 2.6118 2.6118 7.0142 90.00 90.00 90.00
Last column: nearest neighbours and their distance in Å.
Positions (direct):
Ni1 0.0000 0.0000 0.0000  8 Ni 2.46-2.61, 4 Ru 2.54
Ni2 0.5000 0.5000 0.2311  8 Ni 2.46-2.61, 4 Rh 2.58
Ru1 0.5000 0.5000 0.7521  4 Ni 2.54, 4 Ru 2.61, 4 Rh 2.62
Rh1 0.0000 0.0000 0.4870  4 Ni 2.58, 4 Rh 2.61, 4 Ru 2.62

Properties
Space group   No. 99
V   11.96 Å³/atom

--- 3 ---
Ni2RuRh: optimized geometry, PBEsol.

Lattice parameters (Å, degrees): 3.5818 3.5818 7.4217 90.00 90.00 90.00
Last column: nearest neighbours and their distance in Å.
Positions (direct):
Ni1 0.0000 0.0000 0.0000  4 Ru 2.53, 4 Rh 2.58, 4 Ni 2.58
Ni2 0.0000 0.5000 0.2500  4 Rh 2.53, 4 Ni 2.58, 4 Ru 2.58
Ni3 0.5000 0.0000 0.7500  4 Rh 2.53, 4 Ru 2.58, 4 Ni 2.58
Ni4 0.5000 0.5000 0.5000  4 Ru 2.53, 4 Ni 2.58, 4 Rh 2.58
Ru1 0.0000 0.0000 0.5000  8 Ni 2.53-2.58, 4 Rh 2.58
Ru2 0.5000 0.5000 0.0000  8 Ni 2.53-2.58, 4 Rh 2.58
Rh1 0.0000 0.5000 0.7500  8 Ni 2.53-2.58, 4 Ru 2.58
Rh2 0.5000 0.0000 0.2500  8 Ni 2.53-2.58, 4 Ru 2.58

Properties
Space group   No. 119
V   11.90 Å³/atom

The energy of each structure relative to the most stable one, in meV/atom, is as follows: 1 20; 2 33; 3 0.